*a*
{
  "formula": "ZrP2AuO",
  "functional": "PBE",
  "state": "optimized geometry",
  "dos_at_fermi_per_ev_cell": 3.9,
  "crystal_system": "tetragonal",
  "rho_kg_m3": 5710,
  "magnetic_moment_mub_per_cell": 0.00,
  "lattice": [[5.200, 0.000, 0.000], [0.000, 5.200, 0.000], [0.000, 0.000, 3.937]],
  "species": ["P", "P", "Au", "O", "Zr"],
  "frac_coords": [[0.000, 0.500, 0.000], [0.500, 0.000, 0.000], [0.500, 0.500, 0.500], [0.000, 0.000, 0.500], [0.000, 0.000, 0.000]]
}

*b*
{
  "formula": "ZrP2AuO",
  "functional": "PBE",
  "state": "optimized geometry",
  "dos_at_fermi_per_ev_cell": 2.6,
  "crystal_system": "tetragonal",
  "rho_kg_m3": 6673,
  "magnetic_moment_mub_per_cell": 0.00,
  "lattice": [[4.769, 0.000, 0.000], [0.000, 4.769, 0.000], [0.000, 0.000, 4.007]],
  "species": ["P", "P", "Au", "O", "Zr"],
  "frac_coords": [[0.000, 0.500, 0.000], [0.500, 0.000, 0.000], [0.000, 0.000, 0.000], [0.000, 0.000, 0.500], [0.500, 0.500, 0.500]]
}

*c*
{
  "formula": "ZrP2AuO",
  "functional": "PBE",
  "state": "optimized geometry",
  "dos_at_fermi_per_ev_cell": 13.0,
  "crystal_system": "tetragonal",
  "rho_kg_m3": 4563,
  "magnetic_moment_mub_per_cell": 0.00,
  "lattice": [[4.964, 0.000, 0.000], [0.000, 5.407, 0.000], [0.000, 0.000, 4.964]],
  "species": ["P", "P", "Au", "O", "Zr"],
  "frac_coords": [[0.000, 0.000, 0.500], [0.500, 0.000, 0.000], [0.000, 0.500, 0.000], [0.500, 0.500, 0.500], [0.000, 0.000, 0.000]]
}

Short version: *c* is the least stable of them.

*a*
{
  "formula": "ZrPAuO2",
  "functional": "PBE",
  "state": "optimized geometry",
  "dos_at_fermi_per_ev_cell": 3.2,
  "crystal_system": "tetragonal",
  "rho_kg_m3": 6278,
  "magnetic_moment_mub_per_cell": 0.30,
  "lattice": [[3.993, 0.000, 0.000], [0.000, 3.993, 0.000], [0.000, 0.000, 5.827]],
  "species": ["P", "Au", "O", "O", "Zr"],
  "frac_coords": [[0.000, 0.000, 0.500], [0.500, 0.500, 0.500], [0.000, 0.500, 0.000], [0.500, 0.000, 0.000], [0.000, 0.000, 0.000]]
}

*b*
{
  "formula": "ZrPAuO2",
  "functional": "PBE",
  "state": "optimized geometry",
  "dos_at_fermi_per_ev_cell": 2.4,
  "crystal_system": "tetragonal",
  "rho_kg_m3": 7350,
  "magnetic_moment_mub_per_cell": 0.00,
  "lattice": [[-1.464, -3.219, 2.033], [-1.367, -1.588, -3.499], [4.154, -2.265, -0.594]],
  "species": ["P", "Au", "O", "O", "Zr"],
  "frac_coords": [[0.000, 0.000, 0.500], [0.000, 0.000, 0.000], [0.000, 0.500, 0.000], [0.500, 0.000, 0.000], [0.500, 0.500, 0.500]]
}

Short version: *b* is the least stable of them.

*a*
{
  "formula": "Pb3AuO",
  "functional": "PBE",
  "state": "optimized geometry",
  "dos_at_fermi_per_ev_cell": 2.8,
  "crystal_system": "cubic",
  "rho_kg_m3": 8282,
  "magnetic_moment_mub_per_cell": 0.00,
  "lattice": [[5.510, 0.000, 0.000], [0.000, 5.510, 0.000], [0.000, 0.000, 5.510]],
  "species": ["Pb", "Pb", "Pb", "Au", "O"],
  "frac_coords": [[0.000, 0.500, 0.000], [0.000, 0.000, 0.500], [0.500, 0.000, 0.000], [0.000, 0.000, 0.000], [0.500, 0.500, 0.500]]
}

*b*
{
  "formula": "Pb3AuO",
  "functional": "PBE",
  "state": "optimized geometry",
  "dos_at_fermi_per_ev_cell": 4.2,
  "crystal_system": "cubic",
  "rho_kg_m3": 11179,
  "magnetic_moment_mub_per_cell": 0.00,
  "lattice": [[4.986, 0.000, 0.000], [0.000, 4.986, 0.000], [0.000, 0.000, 4.986]],
  "species": ["Pb", "Pb", "Pb", "Au", "O"],
  "frac_coords": [[0.000, 0.500, 0.000], [0.000, 0.000, 0.500], [0.500, 0.000, 0.000], [0.500, 0.500, 0.500], [0.000, 0.000, 0.000]]
}

Short version: *a* is the least stable of them.